Density functional theory data (PBE-GGA) for a relaxed structure of YCuOs2.

Unit cell a=4.343 b=3.900 c=3.900 alpha=90.00 beta=90.00 gamma=90.00
Element x y z (fractional)
1 Cu 0.500 0.000 0.500
2 Os 0.000 0.000 0.000
3 Os 0.000 0.500 0.500
4 Y 0.500 0.500 0.000

Properties
- Space group: P4/mmm
- Final energy: -31.84 eV for the cell shown
- Density: 13.40 g cm⁻³
- Energy above the most stable polymorph in this dataset: 0.48 eV/f.u.
- Total magnetization: 0.000 μB per atom